A relaxed Er2CuSi3 crystal, computed with GGA-PBE.

Cell lengths 7.466, 7.466, 7.466 Å; angles 149.48, 148.52, 44.42 degrees
Positions (direct):
1 Er 0.997 0.997 0.000
2 Er 0.754 0.254 0.500
3 Si 0.420 0.420 0.000
4 Si 0.327 0.827 0.500
5 Si 0.588 0.588 0.000
6 Cu 0.164 0.664 0.500

Volume in Å³/atom: 18.34
Raw formation energy in eV/atom: -0.691


A relaxed ErCu4Si crystal, computed with GGA-PBE.

Cell lengths 4.995, 4.995, 4.995 Å; angles 60.00, 60.00, 60.00 degrees
Positions (direct):
1 Cu 0.625 0.126 0.625
2 Cu 0.126 0.625 0.625
3 Cu 0.625 0.625 0.126
4 Cu 0.625 0.625 0.625
5 Er 0.000 0.000 0.000
6 Si 0.250 0.250 0.250

Volume in Å³/atom: 14.69
Raw formation energy in eV/atom: -0.138


A relaxed ErCu12Si6 crystal, computed with GGA-PBE.

Cell lengths 6.669, 6.669, 6.669 Å; angles 103.59, 103.59, 103.59 degrees
Positions (direct):
1 Cu 0.114 0.886 0.500
2 Cu 0.870 0.616 0.616
3 Cu 0.500 0.114 0.886
4 Cu 0.886 0.500 0.114
5 Cu 0.384 0.130 0.384
6 Cu 0.886 0.114 0.500
7 Cu 0.130 0.384 0.384
8 Cu 0.114 0.500 0.886
9 Cu 0.384 0.384 0.130
10 Cu 0.616 0.616 0.870
11 Cu 0.500 0.886 0.114
12 Cu 0.616 0.870 0.616
13 Si 0.302 0.719 0.719
14 Si 0.719 0.719 0.302
15 Si 0.719 0.302 0.719
16 Si 0.281 0.698 0.281
17 Si 0.698 0.281 0.281
18 Si 0.281 0.281 0.698
19 Er 0.000 0.000 0.000

Volume in Å³/atom: 14.04
Raw formation energy in eV/atom: 0.017


A relaxed Er3CuSi crystal, computed with GGA-PBE.

Cell lengths 4.222, 7.108, 8.166 Å; angles 86.51, 89.96, 107.23 degrees
Positions (direct):
1 Cu 0.225 0.483 0.644
2 Cu 0.819 0.671 0.777
3 Er 0.971 0.974 0.018
4 Er 0.258 0.549 0.032
5 Er 0.626 0.284 0.787
6 Er 0.418 0.870 0.635
7 Er 0.786 0.606 0.390
8 Er 0.073 0.180 0.404
9 Si 0.433 0.900 0.270
10 Si 0.611 0.255 0.151

Volume in Å³/atom: 23.36
Raw formation energy in eV/atom: -0.367


no.,total magnetization (μB/cell),final energy (eV/atom)
1,0.0,-5.606
2,0.0,-4.533
3,0.0,-4.523
4,0.0,-5.009